Computed, not measured: crystalline VGa3Se at its relaxed geometry at the PBE level of DFT.

CIF file:
```
data_VGa3Se
_chemical_formula_sum 'V1 Ga3 Se1'
_cell_length_a 5.044
_cell_length_b 5.044
_cell_length_c 5.044
_cell_angle_alpha 90.00
_cell_angle_beta 90.00
_cell_angle_gamma 90.00
_symmetry_space_group_name_H-M 'P m -3 m'
_symmetry_Int_Tables_number 221
_symmetry_space_group_name_Hall '-P 4 2 3'
loop_
_atom_site_label
_atom_site_fract_x
_atom_site_fract_y
_atom_site_fract_z
V1 0.000 0.000 0.000
Ga1 0.000 0.500 0.500
Se1 0.500 0.500 0.500
```

Calculated values
* Fermi-level density of states: 1.167 states/eV/atom
* electronic total energy: -3.47 eV/atom
* volume: 25.7 Å³/atom
* energy relative to the elements, uncorrected: 0.863 eV per atom

---

Computed, not measured: crystalline V2ZnGaSe at its relaxed geometry at the PBE level of DFT.

CIF file:
```
data_V2ZnGaSe
_chemical_formula_sum 'V2 Zn1 Ga1 Se1'
_cell_length_a 4.831
_cell_length_b 4.831
_cell_length_c 4.391
_cell_angle_alpha 90.00
_cell_angle_beta 90.00
_cell_angle_gamma 90.00
_symmetry_space_group_name_H-M 'P 4/m m m'
_symmetry_Int_Tables_number 123
_symmetry_space_group_name_Hall '-P 4 2'
loop_
_atom_site_label
_atom_site_fract_x
_atom_site_fract_y
_atom_site_fract_z
V1 0.000 0.500 0.000
Zn1 0.000 0.000 0.000
Ga1 0.000 0.000 0.500
Se1 0.500 0.500 0.500
```

Calculated values
* Fermi-level density of states: 1.211 states/eV/atom
* electronic total energy: -4.39 eV/atom
* volume: 20.5 Å³/atom
* energy relative to the elements, uncorrected: 0.815 eV per atom

---

Computed, not measured: crystalline Ga3WSe at its relaxed geometry at the PBE level of DFT.

CIF file:
```
data_Ga3WSe
_chemical_formula_sum 'Ga3 W1 Se1'
_cell_length_a 4.796
_cell_length_b 4.796
_cell_length_c 4.796
_cell_angle_alpha 90.00
_cell_angle_beta 90.00
_cell_angle_gamma 90.00
_symmetry_space_group_name_H-M 'P m -3 m'
_symmetry_Int_Tables_number 221
_symmetry_space_group_name_Hall '-P 4 2 3'
loop_
_atom_site_label
_atom_site_fract_x
_atom_site_fract_y
_atom_site_fract_z
Ga1 0.000 0.000 0.500
W1 0.500 0.500 0.500
Se1 0.000 0.000 0.000
```

Calculated values
* Fermi-level density of states: 1.146 states/eV/atom
* electronic total energy: -3.64 eV/atom
* volume: 22.1 Å³/atom
* energy relative to the elements, uncorrected: 1.467 eV per atom

---

Computed, not measured: crystalline GaW3Se at its relaxed geometry at the PBE level of DFT.

CIF file:
```
data_GaW3Se
_chemical_formula_sum 'Ga1 W3 Se1'
_cell_length_a 4.598
_cell_length_b 4.598
_cell_length_c 4.598
_cell_angle_alpha 90.00
_cell_angle_beta 90.00
_cell_angle_gamma 90.00
_symmetry_space_group_name_H-M 'P m -3 m'
_symmetry_Int_Tables_number 221
_symmetry_space_group_name_Hall '-P 4 2 3'
loop_
_atom_site_label
_atom_site_fract_x
_atom_site_fract_y
_atom_site_fract_z
Ga1 0.000 0.000 0.000
W1 0.000 0.500 0.500
Se1 0.500 0.500 0.500
```

Calculated values
* Fermi-level density of states: 0.933 states/eV/atom
* electronic total energy: -7.46 eV/atom
* volume: 19.4 Å³/atom
* energy relative to the elements, uncorrected: 1.613 eV per atom

---

Computed, not measured: crystalline Ga3WSe at its relaxed geometry at the PBE level of DFT.

CIF file:
```
data_Ga3WSe
_chemical_formula_sum 'Ga3 W1 Se1'
_cell_length_a 5.015
_cell_length_b 5.015
_cell_length_c 5.015
_cell_angle_alpha 90.00
_cell_angle_beta 90.00
_cell_angle_gamma 90.00
_symmetry_space_group_name_H-M 'P m -3 m'
_symmetry_Int_Tables_number 221
_symmetry_space_group_name_Hall '-P 4 2 3'
loop_
_atom_site_label
_atom_site_fract_x
_atom_site_fract_y
_atom_site_fract_z
Ga1 0.000 0.000 0.500
W1 0.000 0.000 0.000
Se1 0.500 0.500 0.500
```

Calculated values
* Fermi-level density of states: 0.653 states/eV/atom
* electronic total energy: -4.37 eV/atom
* volume: 25.2 Å³/atom
* energy relative to the elements, uncorrected: 0.730 eV per atom

---

Computed, not measured: crystalline GaWSe2 at its relaxed geometry at the PBE level of DFT.

CIF file:
```
data_GaWSe2
_chemical_formula_sum 'Ga4 W4 Se8'
_cell_length_a 6.589
_cell_length_b 6.589
_cell_length_c 10.401
_cell_angle_alpha 90.00
_cell_angle_beta 90.00
_cell_angle_gamma 90.00
_symmetry_space_group_name_H-M 'I -4 2 d'
_symmetry_Int_Tables_number 122
_symmetry_space_group_name_Hall 'I -4 2bw'
loop_
_atom_site_label
_atom_site_fract_x
_atom_site_fract_y
_atom_site_fract_z
Ga1 0.000 0.000 0.000
W1 0.000 0.000 0.500
Se1 0.184 0.250 0.625
```

Calculated values
* Fermi-level density of states: 1.175 states/eV/atom
* electronic total energy: -5.44 eV/atom
* volume: 28.2 Å³/atom
* energy relative to the elements, uncorrected: 0.298 eV per atom